VASP calculation (GGA-PBE) on an optimized crystal structure of NiAuSeBr2.

Cell: 5.183 5.183 5.284 Å, 90.00 90.00 90.00°
Space group P4/mmm (No. 123)
One atom of each set of equivalent atoms:
1 Ni 0.000 0.000 0.000 (multiplicity 1)
2 Au 0.500 0.500 0.500 (multiplicity 1)
3 Se 0.500 0.500 0.000 (multiplicity 1)
4 Br 0.000 0.500 0.500 (multiplicity 2)

## Properties
DOS(E_F) (states/eV per atom): 1.02
Energy above the most stable polymorph in this dataset (meV per atom): 384
Theoretical density (g/cm³): 5.78
Magnetization (μB per formula unit): 1.72